First-principles (PBE) data for a relaxed NaTe2P crystal, as listed in Alexandria.

a = 9.2157 Å, b = 9.2157 Å, c = 9.2157 Å
α = 25.72°, β = 25.72°, γ = 25.72°
Closest atoms and distances in Å follow each position.
Sites, in units of the cell vectors:
P: 0.5000 0.5000 0.5000  6 Te 2.82
Te: 0.8903 0.8903 0.8903  3 P 2.82, 1 Na 2.93
Te: 0.1097 0.1097 0.1097  3 P 2.82, 1 Na 2.93
Na: 0.0000 0.0000 0.0000  2 Te 2.93

Properties
uncorrected formation energy: -31 meV per atom
E: -3.284 eV/atom
SG: R-3m